Here is a relaxed TcI4 crystal from the Open Quantum Materials Database. Energies are from PBE.

Output
Polymorph energy (0 for the lowest one) (eV/atom): 0.001
E_tot (eV/atom): -3.37
Calculated volume (A^3/atom): 39.75
Total magnetic moment (μB/f.u.): 3.0
Space group: No. 14

a b c (Å): 16.623 6.957 13.747
angles (deg): 90.00 90.07 90.00
Last column: magnetic moment on the atom in μB.
Positions (direct):
I 0.804 0.917 0.761  0.04
I 0.196 0.417 0.739  0.04
I 0.571 0.550 0.253  0.15
I 0.426 0.764 0.006  0.16
I 0.072 0.550 0.247  0.15
I 0.195 0.736 0.016  0.04
I 0.805 0.264 0.984  0.04
I 0.574 0.236 0.994  0.16
I 0.571 0.950 0.753  0.15
I 0.926 0.764 0.495  0.16
I 0.429 0.050 0.247  0.15
I 0.195 0.764 0.516  0.04
I 0.306 0.236 0.016  0.04
I 0.196 0.083 0.239  0.04
I 0.306 0.264 0.516  0.04
I 0.804 0.583 0.261  0.04
I 0.305 0.583 0.239  0.04
I 0.305 0.917 0.739  0.04
I 0.928 0.450 0.753  0.15
I 0.426 0.736 0.506  0.16
I 0.074 0.236 0.505  0.16
I 0.574 0.264 0.494  0.16
I 0.926 0.736 0.995  0.16
I 0.695 0.083 0.261  0.04
I 0.695 0.417 0.761  0.04
I 0.072 0.950 0.747  0.15
I 0.805 0.236 0.484  0.04
I 0.074 0.264 0.005  0.16
I 0.429 0.450 0.747  0.15
I 0.694 0.736 0.484  0.04
I 0.928 0.050 0.253  0.15
I 0.694 0.764 0.984  0.04
Tc 0.181 0.408 0.127  2.09
Tc 0.319 0.908 0.127  2.09
Tc 0.181 0.092 0.627  2.10
Tc 0.319 0.592 0.627  2.10
Tc 0.681 0.092 0.873  2.09
Tc 0.681 0.408 0.373  2.10
Tc 0.819 0.592 0.873  2.09
Tc 0.819 0.908 0.373  2.10